The following is a PBE-GGA calculation of a relaxed Pu2ThFeN4 crystal, from the Alexandria database.

```
16
Lattice="3.4189 0.0000 0.0000 -1.7095 5.7065 0.0000 0.0000 0.0000 11.4796" Properties=species:S:1:pos:R:3 pbc="T T T"
Pu 0.0000 4.2071 6.3814
Pu 1.7095 1.4994 0.6416
Pu 1.7095 1.4994 5.0982
Pu 0.0000 4.2071 10.8380
Th 0.0000 1.2190 8.6097
Th 1.7095 4.4875 2.8699
Fe 1.7095 3.9241 8.6097
Fe 0.0000 1.7824 2.8699
N 0.0000 3.0858 1.3757
N 1.7095 2.6207 7.1154
N 1.7095 2.6207 10.1039
N 0.0000 3.0858 4.3641
N 0.0000 0.0000 5.7398
N 0.0000 0.0000 0.0000
N 0.0000 5.1627 8.6097
N 1.7095 0.5438 2.8699
```

## Properties
- magnetization (μB/cell) = 12.00
- space group = Cmcm, No. 63
- total energy (eV per atom) = -10.8622